--- w ---
DFT (PBE) results for SnAsIr2 after structural relaxation.

```
SnAsIr2
1.0
0.000 3.227 3.227
3.227 0.000 3.227
3.227 3.227 0.000
As Ir Sn
1 2 1
direct
0.000 0.000 0.000
0.250 0.250 0.250
0.750 0.750 0.750
0.500 0.500 0.500
```

## Properties
Its density of states at the Fermi level is 3.976 states/eV/f.u. The calculation puts the volume at 67.2 Å³ per cell.

***

--- x ---
DFT (PBE) results for SnAsIr2 after structural relaxation.

```
SnAsIr2
1.0
5.743 0.000 0.000
0.000 5.743 0.000
2.871 2.871 5.707
As Ir Sn
2 4 2
direct
0.500 0.500 0.000
0.250 0.750 0.500
0.588 0.125 0.250
0.162 0.625 0.250
0.375 0.412 0.750
0.875 0.838 0.750
0.000 0.000 0.000
0.750 0.250 0.500
```

## Properties
Its density of states at the Fermi level is 1.661 states/eV/f.u. The calculation puts the volume at 188.2 Å³ per cell.

***

Stability summary - winner: x; margin: 45 meV/atom.